The following is a PBE calculation of an optimized crystal structure of La3CoGe, from Alexandria.

Computed properties:
**Energy relative to the lowest polymorph listed for this composition**: 0.0 meV/atom
**E_form**: -40 kJ per mole of atoms

a b c (Å): 5.6648 7.0107 7.0935
angles (deg): 89.90 72.85 89.98
Space group P-1 (No. 2)
Unique sites:
La (0.1275, 0.2501, 0.3694) [2 per cell]
La (0.3199, 0.0196, 0.7958) [2 per cell]
La (0.3198, 0.4818, 0.7956) [2 per cell]
Co (0.3426, 0.7506, 0.5003) [2 per cell]
Ge (0.1849, 0.7497, 0.1952) [2 per cell]